(1)
KFe2Te3 | PBE | relaxed

- SG: No. 11

a = 8.8068 Å, b = 3.8433 Å, c = 9.7927 Å
α = 90.00°, β = 112.59°, γ = 90.00°
Last column: nearest neighbours and their distance in Å.
Fractional coordinates of all 12 atoms:
K  0.5114  0.2500  0.7706  8 Te 3.49-3.78, 2 K 3.84
K  0.4886  0.7500  0.2294  8 Te 3.49-3.78, 2 K 3.84
Fe  0.0183  0.2500  0.1033  4 Te 2.56-2.63, 2 Fe 2.72
Fe  0.0281  0.7500  0.3252  6 Te 2.62-2.66, 2 Fe 2.88
Fe  0.9817  0.7500  0.8967  4 Te 2.56-2.63, 2 Fe 2.72
Fe  0.9719  0.2500  0.6748  6 Te 2.62-2.66, 2 Fe 2.88
Te  0.2440  0.2500  0.3631  3 Fe 2.56-2.63
Te  0.1449  0.7500  0.6189  3 Fe 2.64-2.66
Te  0.1990  0.2500  0.9425  4 Fe 2.62-2.63
Te  0.7560  0.7500  0.6369  3 Fe 2.56-2.63
Te  0.8551  0.2500  0.3811  3 Fe 2.64-2.66
Te  0.8010  0.7500  0.0575  4 Fe 2.62-2.63

(2)
KYFeTe3 | PBE | relaxed

- SG: No. 11

a = 9.9134 Å, b = 4.2810 Å, c = 10.1402 Å
α = 90.00°, β = 108.42°, γ = 90.00°
Last column: nearest neighbours and their distance in Å.
Fractional coordinates of all 12 atoms:
Y  0.6672  0.2500  0.1431  6 Te 3.06-3.15
Y  0.3328  0.7500  0.8569  6 Te 3.06-3.15
Te  0.4582  0.7500  0.1742  3 Y 3.06
Te  0.2116  0.7500  0.5294  3 Fe 2.63-2.72
Te  0.7884  0.2500  0.4706  3 Fe 2.63-2.72
Te  0.1072  0.2500  0.8514  1 Fe 2.65
Te  0.5418  0.2500  0.8258  3 Y 3.06
Te  0.8928  0.7500  0.1486  1 Fe 2.65
Fe  0.0667  0.2500  0.5798  4 Te 2.63-2.72, 2 Fe 2.76
Fe  0.9333  0.7500  0.4202  4 Te 2.63-2.72, 2 Fe 2.76
K  0.8007  0.7500  0.7676  7 Te 3.53-3.68
K  0.1993  0.2500  0.2324  7 Te 3.53-3.68

(3)
KZrFeTe3 | PBE | relaxed

- SG: No. 63

a = 8.5085 Å, b = 8.5085 Å, c = 10.6789 Å
α = 90.00°, β = 90.00°, γ = 152.69°
Last column: nearest neighbours and their distance in Å.
Fractional coordinates of all 12 atoms:
Te  0.6239  0.3761  0.5596  1 Fe 2.59
Te  0.6239  0.3761  0.9404  1 Fe 2.59
Te  0.3761  0.6239  0.4404  1 Fe 2.59
Te  0.0767  0.9233  0.2500  2 Fe 2.64
Te  0.9233  0.0767  0.7500  2 Fe 2.64
Te  0.3761  0.6239  0.0596  1 Fe 2.59
Fe  0.5268  0.4732  0.7500  4 Te 2.59-2.64
Fe  0.4732  0.5268  0.2500  4 Te 2.59-2.64
K  0.7512  0.2488  0.2500  8 Te 3.52-3.92
K  0.2488  0.7512  0.7500  8 Te 3.52-3.92
Zr  0.0000  0.0000  0.0000  6 Te 2.94-2.96
Zr  0.0000  0.0000  0.5000  6 Te 2.94-2.96

| no. | VASP energy (hartree per atom) |
| --- | --- |
| 1 | -0.176 |
| 2 | -0.188 |
| 3 | -0.193 |